First-principles (PBE-GGA) data for Hf4CO6 after structural relaxation, as listed in Alexandria via LeMat-Bulk.

CIF file:
```
data_Hf4CO6
_cell_length_a 7.176
_cell_length_b 7.176
_cell_length_c 5.095
_cell_angle_alpha 90.00
_cell_angle_beta 90.00
_cell_angle_gamma 90.00
_symmetry_space_group_name_H-M 'P 42/n m c'
_symmetry_Int_Tables_number 137
loop_
_symmetry_equiv_pos_as_xyz
'x,y,z'
'-x,-y,-z'
'-y+1/2,x,z+1/2'
'y+1/2,-x,-z+1/2'
'-x+1/2,-y+1/2,z'
'x+1/2,y+1/2,-z'
'y,-x+1/2,z+1/2'
'-y,x+1/2,-z+1/2'
'x+1/2,-y,-z'
'-x+1/2,y,z'
'-y,-x,-z+1/2'
'y,x,z+1/2'
'-x,y+1/2,-z'
'x,-y+1/2,z'
'y+1/2,x+1/2,-z+1/2'
'-y+1/2,-x+1/2,z+1/2'
loop_
_atom_site_label
_atom_site_fract_x
_atom_site_fract_y
_atom_site_fract_z
Hf1 0.009 0.250 0.038
C1 0.250 0.750 0.750
O1 0.039 0.539 0.250
O2 0.250 0.250 0.276
```

Output
- DFT total energy: -10.113 eV/atom


First-principles (PBE-GGA) data for Hf8C2O after structural relaxation, as listed in Alexandria via LeMat-Bulk.

CIF file:
```
data_Hf8C2O
_cell_length_a 10.268
_cell_length_b 7.670
_cell_length_c 4.876
_cell_angle_alpha 90.00
_cell_angle_beta 90.67
_cell_angle_gamma 90.00
_symmetry_space_group_name_H-M 'C 1 2/m 1'
_symmetry_Int_Tables_number 12
_symmetry_space_group_name_Hall '-C 2y'
loop_
_atom_site_label
_atom_site_fract_x
_atom_site_fract_y
_atom_site_fract_z
Hf1 0.105 0.212 0.242
Hf2 0.110 0.500 0.753
Hf3 0.175 0.000 0.738
C1 0.113 0.500 0.255
O1 0.000 0.000 0.000
```

Output
- DFT total energy: -10.165 eV/atom


First-principles (PBE-GGA) data for HfC3O after structural relaxation, as listed in Alexandria via LeMat-Bulk.

CIF file:
```
data_HfC3O
_cell_length_a 3.610
_cell_length_b 3.610
_cell_length_c 3.610
_cell_angle_alpha 90.00
_cell_angle_beta 90.00
_cell_angle_gamma 90.00
_symmetry_space_group_name_H-M 'P m -3 m'
_symmetry_Int_Tables_number 221
_symmetry_space_group_name_Hall '-P 4 2 3'
loop_
_atom_site_label
_atom_site_fract_x
_atom_site_fract_y
_atom_site_fract_z
Hf1 0.000 0.000 0.000
C1 0.000 0.500 0.500
O1 0.500 0.500 0.500
```

Output
- DFT total energy: -6.597 eV/atom


First-principles (PBE-GGA) data for HfCO3 after structural relaxation, as listed in Alexandria via LeMat-Bulk.

CIF file:
```
data_HfCO3
_cell_length_a 4.040
_cell_length_b 4.040
_cell_length_c 4.040
_cell_angle_alpha 90.00
_cell_angle_beta 90.00
_cell_angle_gamma 90.00
_symmetry_space_group_name_H-M 'P m -3 m'
_symmetry_Int_Tables_number 221
_symmetry_space_group_name_Hall '-P 4 2 3'
loop_
_atom_site_label
_atom_site_fract_x
_atom_site_fract_y
_atom_site_fract_z
Hf1 0.000 0.000 0.000
C1 0.500 0.500 0.500
O1 0.000 0.000 0.500
```

Output
- DFT total energy: -7.176 eV/atom


First-principles (PBE-GGA) data for Hf3C2O after structural relaxation, as listed in Alexandria via LeMat-Bulk.

CIF file:
```
data_Hf3C2O
_cell_length_a 10.921
_cell_length_b 3.265
_cell_length_c 9.269
_cell_angle_alpha 90.00
_cell_angle_beta 115.60
_cell_angle_gamma 90.00
_symmetry_space_group_name_H-M 'C 1 2/m 1'
_symmetry_Int_Tables_number 12
_symmetry_space_group_name_Hall '-C 2y'
loop_
_atom_site_label
_atom_site_fract_x
_atom_site_fract_y
_atom_site_fract_z
Hf1 0.007 0.000 0.256
Hf2 0.155 0.500 0.088
Hf3 0.165 0.500 0.576
C1 0.000 0.000 0.000
C2 0.000 0.000 0.500
C3 0.165 0.500 0.331
O1 0.171 0.500 0.845
```

Output
- DFT total energy: -10.408 eV/atom


First-principles (PBE-GGA) data for HfC3O after structural relaxation, as listed in Alexandria via LeMat-Bulk.

CIF file:
```
data_HfC3O
_cell_length_a 4.337
_cell_length_b 4.337
_cell_length_c 4.337
_cell_angle_alpha 90.00
_cell_angle_beta 90.00
_cell_angle_gamma 90.00
_symmetry_space_group_name_H-M 'P m -3 m'
_symmetry_Int_Tables_number 221
_symmetry_space_group_name_Hall '-P 4 2 3'
loop_
_atom_site_label
_atom_site_fract_x
_atom_site_fract_y
_atom_site_fract_z
Hf1 0.000 0.000 0.000
C1 0.000 0.000 0.500
O1 0.500 0.500 0.500
```

Output
- DFT total energy: -5.745 eV/atom


First-principles (PBE-GGA) data for Hf4C2O after structural relaxation, as listed in Alexandria via LeMat-Bulk.

CIF file:
```
data_Hf4C2O
_cell_length_a 12.137
_cell_length_b 3.238
_cell_length_c 5.629
_cell_angle_alpha 90.00
_cell_angle_beta 117.48
_cell_angle_gamma 90.00
_symmetry_space_group_name_H-M 'C 1 2/m 1'
_symmetry_Int_Tables_number 12
_symmetry_space_group_name_Hall '-C 2y'
loop_
_atom_site_label
_atom_site_fract_x
_atom_site_fract_y
_atom_site_fract_z
Hf1 0.131 0.000 0.303
Hf2 0.132 0.500 0.795
C1 0.243 0.500 0.243
O1 0.000 0.000 0.500
```

Output
- DFT total energy: -10.324 eV/atom


First-principles (PBE-GGA) data for Hf2ReCO after structural relaxation, as listed in Alexandria via LeMat-Bulk.

CIF file:
```
data_Hf2ReCO
_cell_length_a 4.567
_cell_length_b 4.567
_cell_length_c 3.809
_cell_angle_alpha 90.00
_cell_angle_beta 90.00
_cell_angle_gamma 90.00
_symmetry_space_group_name_H-M 'P 4/m m m'
_symmetry_Int_Tables_number 123
_symmetry_space_group_name_Hall '-P 4 2'
loop_
_atom_site_label
_atom_site_fract_x
_atom_site_fract_y
_atom_site_fract_z
Hf1 0.000 0.500 0.000
Re1 0.000 0.000 0.500
C1 0.000 0.000 0.000
O1 0.500 0.500 0.500
```

Output
- DFT total energy: -9.293 eV/atom


First-principles (PBE-GGA) data for HfRu2CO after structural relaxation, as listed in Alexandria via LeMat-Bulk.

CIF file:
```
data_HfRu2CO
_cell_length_a 3.950
_cell_length_b 3.950
_cell_length_c 4.268
_cell_angle_alpha 90.00
_cell_angle_beta 90.00
_cell_angle_gamma 90.00
_symmetry_space_group_name_H-M 'P 4/m m m'
_symmetry_Int_Tables_number 123
_symmetry_space_group_name_Hall '-P 4 2'
loop_
_atom_site_label
_atom_site_fract_x
_atom_site_fract_y
_atom_site_fract_z
Hf1 0.000 0.000 0.000
Ru1 0.000 0.500 0.500
C1 0.500 0.500 0.000
O1 0.000 0.000 0.500
```

Output
- DFT total energy: -8.017 eV/atom


First-principles (PBE-GGA) data for HfRuCO2 after structural relaxation, as listed in Alexandria via LeMat-Bulk.

CIF file:
```
data_HfRuCO2
_cell_length_a 3.896
_cell_length_b 3.896
_cell_length_c 3.871
_cell_angle_alpha 90.00
_cell_angle_beta 90.00
_cell_angle_gamma 90.00
_symmetry_space_group_name_H-M 'P 4/m m m'
_symmetry_Int_Tables_number 123
_symmetry_space_group_name_Hall '-P 4 2'
loop_
_atom_site_label
_atom_site_fract_x
_atom_site_fract_y
_atom_site_fract_z
Hf1 0.000 0.000 0.000
Ru1 0.500 0.500 0.500
C1 0.500 0.500 0.000
O1 0.000 0.500 0.500
```

Output
- DFT total energy: -7.831 eV/atom


First-principles (PBE-GGA) data for YHf2CO after structural relaxation, as listed in Alexandria via LeMat-Bulk.

CIF file:
```
data_YHf2CO
_cell_length_a 4.338
_cell_length_b 4.338
_cell_length_c 5.073
_cell_angle_alpha 90.00
_cell_angle_beta 90.00
_cell_angle_gamma 90.00
_symmetry_space_group_name_H-M 'P 4/m m m'
_symmetry_Int_Tables_number 123
_symmetry_space_group_name_Hall '-P 4 2'
loop_
_atom_site_label
_atom_site_fract_x
_atom_site_fract_y
_atom_site_fract_z
Y1 0.000 0.000 0.000
Hf1 0.000 0.500 0.500
C1 0.000 0.000 0.500
O1 0.500 0.500 0.000
```

Output
- DFT total energy: -8.111 eV/atom


First-principles (PBE-GGA) data for HfZrCO after structural relaxation, as listed in Alexandria via LeMat-Bulk.

CIF file:
```
data_HfZrCO
_cell_length_a 3.2232
_cell_length_b 3.2232
_cell_length_c 17.0322
_cell_angle_alpha 90.00
_cell_angle_beta 90.00
_cell_angle_gamma 120.00
_symmetry_space_group_name_H-M 'R 3 m'
_symmetry_Int_Tables_number 160
_symmetry_space_group_name_Hall 'R 3 -2"'
loop_
_atom_site_label
_atom_site_fract_x
_atom_site_fract_y
_atom_site_fract_z
Hf1 0.0000 0.0000 0.0000
Zr1 0.0000 0.0000 0.8161
C1 0.0000 0.0000 0.4027
O1 0.0000 0.0000 0.5802
```

Output
- DFT total energy: -9.895 eV/atom


First-principles (PBE-GGA) data for Hf2OsC2 after structural relaxation, as listed in Alexandria via LeMat-Bulk.

CIF file:
```
data_Hf2OsC2
_cell_length_a 6.801
_cell_length_b 6.801
_cell_length_c 2.952
_cell_angle_alpha 90.00
_cell_angle_beta 90.00
_cell_angle_gamma 90.00
_symmetry_space_group_name_H-M 'P 4/m b m'
_symmetry_Int_Tables_number 127
_symmetry_space_group_name_Hall '-P 4 2ab'
loop_
_atom_site_label
_atom_site_fract_x
_atom_site_fract_y
_atom_site_fract_z
Hf1 0.152 0.348 0.000
Os1 0.000 0.000 0.000
C1 0.162 0.662 0.500
```

Output
- ΔH_f (0 K): 4.015 eV/f.u.


First-principles (PBE-GGA) data for Hf2OsC2 after structural relaxation, as listed in Alexandria via LeMat-Bulk.

CIF file:
```
data_Hf2OsC2
_cell_length_a 3.151
_cell_length_b 3.151
_cell_length_c 13.784
_cell_angle_alpha 90.00
_cell_angle_beta 90.00
_cell_angle_gamma 90.00
_symmetry_space_group_name_H-M 'I 4/m m m'
_symmetry_Int_Tables_number 139
_symmetry_space_group_name_Hall '-I 4 2'
loop_
_atom_site_label
_atom_site_fract_x
_atom_site_fract_y
_atom_site_fract_z
Hf1 0.000 0.000 0.127
Os1 0.000 0.000 0.500
C1 0.000 0.500 0.250
```

Output
- ΔH_f (0 K): 1.839 eV/f.u.


First-principles (PBE-GGA) data for HfOs2C after structural relaxation, as listed in Alexandria via LeMat-Bulk.

CIF file:
```
data_HfOs2C
_cell_length_a 6.760
_cell_length_b 6.760
_cell_length_c 5.052
_cell_angle_alpha 90.00
_cell_angle_beta 90.00
_cell_angle_gamma 90.00
_symmetry_space_group_name_H-M 'I -4 2 d'
_symmetry_Int_Tables_number 122
_symmetry_space_group_name_Hall 'I -4 2bw'
loop_
_atom_site_label
_atom_site_fract_x
_atom_site_fract_y
_atom_site_fract_z
Hf1 0.000 0.000 0.000
Os1 0.139 0.250 0.625
C1 0.000 0.000 0.500
```

Output
- ΔH_f (0 K): 0.243 eV/f.u.


First-principles (PBE-GGA) data for HfOs3C after structural relaxation, as listed in Alexandria via LeMat-Bulk.

CIF file:
```
data_HfOs3C
_cell_length_a 4.825
_cell_length_b 4.825
_cell_length_c 4.825
_cell_angle_alpha 90.00
_cell_angle_beta 90.00
_cell_angle_gamma 90.00
_symmetry_space_group_name_H-M 'P m -3 m'
_symmetry_Int_Tables_number 221
_symmetry_space_group_name_Hall '-P 4 2 3'
loop_
_atom_site_label
_atom_site_fract_x
_atom_site_fract_y
_atom_site_fract_z
Hf1 0.000 0.000 0.000
Os1 0.000 0.000 0.500
C1 0.500 0.500 0.500
```

Output
- ΔH_f (0 K): 18.811 eV/f.u.


First-principles (PBE-GGA) data for Hf3OsC after structural relaxation, as listed in Alexandria via LeMat-Bulk.

CIF file:
```
data_Hf3OsC
_cell_length_a 4.414
_cell_length_b 4.414
_cell_length_c 4.414
_cell_angle_alpha 90.00
_cell_angle_beta 90.00
_cell_angle_gamma 90.00
_symmetry_space_group_name_H-M 'P m -3 m'
_symmetry_Int_Tables_number 221
_symmetry_space_group_name_Hall '-P 4 2 3'
loop_
_atom_site_label
_atom_site_fract_x
_atom_site_fract_y
_atom_site_fract_z
Hf1 0.000 0.000 0.500
Os1 0.500 0.500 0.500
C1 0.000 0.000 0.000
```

Output
- ΔH_f (0 K): -1.726 eV/f.u.


First-principles (PBE-GGA) data for Hf6Os3C after structural relaxation, as listed in Alexandria via LeMat-Bulk.

CIF file:
```
data_Hf6Os3C
_cell_length_a 6.024
_cell_length_b 7.023
_cell_length_c 10.184
_cell_angle_alpha 90.00
_cell_angle_beta 119.72
_cell_angle_gamma 90.00
_symmetry_space_group_name_H-M 'P 1 21/c 1'
_symmetry_Int_Tables_number 14
_symmetry_space_group_name_Hall '-P 2ybc'
loop_
_atom_site_label
_atom_site_fract_x
_atom_site_fract_y
_atom_site_fract_z
Hf1 0.079 0.050 0.240
Hf2 0.201 0.700 0.064
Hf3 0.373 0.151 0.052
Os1 0.314 0.112 0.749
Os2 0.500 0.000 0.500
C1 0.000 0.000 0.000
```

Output
- ΔH_f (0 K): -3.320 eV/f.u.


First-principles (PBE-GGA) data for HfOsC3 after structural relaxation, as listed in Alexandria via LeMat-Bulk.

CIF file:
```
data_HfOsC3
_cell_length_a 3.938
_cell_length_b 3.938
_cell_length_c 3.938
_cell_angle_alpha 90.00
_cell_angle_beta 90.00
_cell_angle_gamma 90.00
_symmetry_space_group_name_H-M 'P m -3 m'
_symmetry_Int_Tables_number 221
_symmetry_space_group_name_Hall '-P 4 2 3'
loop_
_atom_site_label
_atom_site_fract_x
_atom_site_fract_y
_atom_site_fract_z
Hf1 0.000 0.000 0.000
Os1 0.500 0.500 0.500
C1 0.000 0.500 0.500
```

Output
- ΔH_f (0 K): 7.041 eV/f.u.


First-principles (PBE-GGA) data for HfOsC3 after structural relaxation, as listed in Alexandria via LeMat-Bulk.

CIF file:
```
data_HfOsC3
_cell_length_a 4.126
_cell_length_b 4.126
_cell_length_c 4.126
_cell_angle_alpha 90.00
_cell_angle_beta 90.00
_cell_angle_gamma 90.00
_symmetry_space_group_name_H-M 'P m -3 m'
_symmetry_Int_Tables_number 221
_symmetry_space_group_name_Hall '-P 4 2 3'
loop_
_atom_site_label
_atom_site_fract_x
_atom_site_fract_y
_atom_site_fract_z
Hf1 0.000 0.000 0.000
Os1 0.500 0.500 0.500
C1 0.000 0.000 0.500
```

Output
- ΔH_f (0 K): 13.981 eV/f.u.


First-principles (PBE-GGA) data for Hf2PaOsC4 after structural relaxation, as listed in Alexandria via LeMat-Bulk.

CIF file:
```
data_Hf2PaOsC4
_cell_length_a 3.372
_cell_length_b 11.476
_cell_length_c 11.200
_cell_angle_alpha 90.00
_cell_angle_beta 90.00
_cell_angle_gamma 90.00
_symmetry_space_group_name_H-M 'C m c m'
_symmetry_Int_Tables_number 63
_symmetry_space_group_name_Hall '-C 2c 2'
loop_
_atom_site_label
_atom_site_fract_x
_atom_site_fract_y
_atom_site_fract_z
Hf1 0.000 0.131 0.041
Pa1 0.000 0.389 0.250
Os1 0.000 0.353 0.750
C1 0.000 0.052 0.250
C2 0.000 0.234 0.623
C3 0.000 0.500 0.000
```

Output
- ΔH_f (0 K): -2.866 eV/f.u.


First-principles (PBE-GGA) data for HfTiOsC2 after structural relaxation, as listed in Alexandria via LeMat-Bulk.

CIF file:
```
data_HfTiOsC2
_cell_length_a 4.100
_cell_length_b 4.100
_cell_length_c 5.218
_cell_angle_alpha 90.00
_cell_angle_beta 90.00
_cell_angle_gamma 90.00
_symmetry_space_group_name_H-M 'P 4/m m m'
_symmetry_Int_Tables_number 123
_symmetry_space_group_name_Hall '-P 4 2'
loop_
_atom_site_label
_atom_site_fract_x
_atom_site_fract_y
_atom_site_fract_z
Hf1 0.000 0.000 0.000
Ti1 0.000 0.000 0.500
Os1 0.500 0.500 0.500
C1 0.000 0.500 0.000
```

Output
- ΔH_f (0 K): 12.003 eV/f.u.


First-principles (PBE-GGA) data for Hf2UOsC4 after structural relaxation, as listed in Alexandria via LeMat-Bulk.

CIF file:
```
data_Hf2UOsC4
_cell_length_a 3.333
_cell_length_b 11.420
_cell_length_c 11.153
_cell_angle_alpha 90.00
_cell_angle_beta 90.00
_cell_angle_gamma 90.00
_symmetry_space_group_name_H-M 'C m c m'
_symmetry_Int_Tables_number 63
_symmetry_space_group_name_Hall '-C 2c 2'
loop_
_atom_site_label
_atom_site_fract_x
_atom_site_fract_y
_atom_site_fract_z
Hf1 0.000 0.131 0.041
U1 0.000 0.385 0.250
Os1 0.000 0.357 0.750
C1 0.000 0.045 0.250
C2 0.000 0.233 0.626
C3 0.000 0.500 0.000
```

Output
- ΔH_f (0 K): -2.175 eV/f.u.


First-principles (PBE-GGA) data for HfP3C after structural relaxation, as listed in Alexandria via LeMat-Bulk.

CIF file:
```
data_HfP3C
_cell_length_a 4.959
_cell_length_b 4.959
_cell_length_c 4.959
_cell_angle_alpha 90.00
_cell_angle_beta 90.00
_cell_angle_gamma 90.00
_symmetry_space_group_name_H-M 'P m -3 m'
_symmetry_Int_Tables_number 221
_symmetry_space_group_name_Hall '-P 4 2 3'
loop_
_atom_site_label
_atom_site_fract_x
_atom_site_fract_y
_atom_site_fract_z
Hf1 0.000 0.000 0.000
P1 0.000 0.000 0.500
C1 0.500 0.500 0.500
```

Output
- ΔH_f (0 K): 8.884 eV/f.u.


Number 1: volume 262.4 Å³/cell. Number 2: volume 384.0 Å³/cell. Number 3: volume 47.0 Å³/cell. Number 4: volume 65.9 Å³/cell. Number 5: volume 298.1 Å³/cell. Number 6: volume 81.6 Å³/cell. Number 7: volume 196.2 Å³/cell. Number 8: volume 79.4 Å³/cell. Number 9: volume 66.6 Å³/cell. Number 10: volume 58.8 Å³/cell. Number 11: volume 95.5 Å³/cell. Number 12: volume 153.2 Å³/cell. Number 13: volume 136.6 Å³/cell. Number 14: volume 136.9 Å³/cell. Number 15: volume 230.8 Å³/cell. Number 16: volume 112.3 Å³/cell. Number 17: volume 86.0 Å³/cell. Number 18: volume 374.2 Å³/cell. Number 19: volume 61.1 Å³/cell. Number 20: volume 70.3 Å³/cell. Number 21: volume 433.3 Å³/cell. Number 22: volume 87.7 Å³/cell. Number 23: volume 424.5 Å³/cell. Number 24: volume 122.0 Å³/cell.